1.
A relaxed structure of Ho3Er3Tm2Te, computed with GGA-PBE. Values from VASP.

Quantum ESPRESSO input file:
```
&SYSTEM
  ibrav = 0, nat = 9, ntyp = 4
/
ATOMIC_SPECIES
Ho 164.93 Ho.upf
Er 167.26 Er.upf
Te 127.60 Te.upf
Tm 168.93 Tm.upf
CELL_PARAMETERS angstrom
9.142 0.000 0.000
-4.571 7.917 0.000
0.000 0.000 3.742
ATOMIC_POSITIONS crystal
Ho 0.723 0.723 0.500
Er 0.386 0.386 0.000
Ho 0.000 0.277 0.500
Te 0.000 0.000 0.000
Tm 0.333 0.667 0.500
Tm 0.667 0.333 0.500
Ho 0.277 0.000 0.500
Er 0.614 0.000 0.000
Er 0.000 0.614 0.000
```


2.
A relaxed structure of Ho3Er2Tm3Te, computed with GGA-PBE. Values from VASP.

Excess energy over the best structure of this formula in the dataset ... 0.00 eV per formula unit

Quantum ESPRESSO input file:
```
&SYSTEM
  ibrav = 0, nat = 9, ntyp = 4
/
ATOMIC_SPECIES
Er 167.26 Er.upf
Te 127.60 Te.upf
Ho 164.93 Ho.upf
Tm 168.93 Tm.upf
CELL_PARAMETERS angstrom
9.126 0.000 0.000
-4.563 7.903 0.000
0.000 0.000 3.740
ATOMIC_POSITIONS crystal
Er 0.667 0.333 0.500
Te 0.000 0.000 0.000
Ho 0.000 0.276 0.500
Ho 0.276 0.000 0.500
Er 0.333 0.667 0.500
Ho 0.724 0.724 0.500
Tm 0.616 0.000 0.000
Tm 0.000 0.616 0.000
Tm 0.384 0.384 0.000
```


Number 1: size of the total moment 0.012 μB/atom, DFT total energy -4.670 eV per atom. Number 2: size of the total moment 0.004 μB/atom, DFT total energy -4.660 eV per atom.